(1)
This record from Alexandria via LeMat-Bulk describes a relaxed Rb5BrCl4 crystal. The functional is GGA-PBE.

ρ	2.80	g/cm³
E_form (uncorrected)	-1904	meV/atom
polymorph energy (0 for the lowest one)	0.0	meV/atom

Unit cell a=15.888 b=4.761 c=11.734 alpha=90.00 beta=119.70 gamma=90.00
Space group C2/m (No. 12)
One atom of each set of equivalent atoms:
1 Rb 0.000 0.000 0.000
2 Rb 0.106 0.500 0.393
3 Rb 0.204 0.000 0.809
4 Br 0.000 0.000 0.500
5 Cl 0.098 0.500 0.898
6 Cl 0.203 0.000 0.298


(2)
This record from Alexandria via LeMat-Bulk describes a relaxed Rb8BrCl6 crystal. The functional is GGA-PBE.

ρ	2.55	g/cm³
E_form (uncorrected)	-1669	meV/atom

Unit cell a=12.1733 b=12.1733 c=4.9548 alpha=90.00 beta=90.00 gamma=120.00
Space group P-3 (No. 147)
One atom of each set of equivalent atoms:
1 Rb 0.0357 0.3294 0.2596
2 Rb 0.3333 0.6667 0.7481
3 Br 0.0000 0.0000 0.5000
4 Cl 0.1319 0.6571 0.2436


D(E_F) values, unit states/eV/atom, following the record order: 0.000 0.131.